An optimized crystal structure of Ho4BCl5. Source: OQMD via LeMat-Bulk, functional PBE.

abc: 8.781 8.781 7.823
angles: 103.03 103.03 24.97
Element x y z (fractional)
Ho 0.001 0.001 0.284
Ho 0.353 0.353 0.418
Ho 0.647 0.647 0.582
Ho 0.999 0.999 0.716
B 0.500 0.500 0.500
Cl 0.165 0.165 0.834
Cl 0.172 0.172 0.344
Cl 0.500 0.500 0.000
Cl 0.828 0.828 0.656
Cl 0.835 0.835 0.166

Computed properties:
Electronic total energy: -50.81 eV for the cell shown
Spin magnetization: 0.000 μB per atom